ZnAsSe2 | GGA-PBE | optimized geometry

a b c (Å): 4.7672 4.7672 3.3971
angles (deg): 90.00 90.00 90.00
Space group P4/mmm (No. 123)
One atom of each set of equivalent atoms:
Zn1 0.0000 0.0000 0.0000 [1 per cell]
As1 0.5000 0.5000 0.0000 [1 per cell]
Se1 0.0000 0.5000 0.5000 [2 per cell]

Density of states at the Fermi level (states/eV/cell): 2.43
Crystal system: tetragonal
VASP energy (eV/atom): -2.97
Uncorrected formation energy (kJ/mol of formula units): 97
Offset from the most stable computed form (eV per atom): 0.413
M_tot (μB per cell): 0.0

---

ZnAsSe2 | GGA-PBE | optimized geometry

a b c (Å): 5.5488 5.5488 13.7124
angles (deg): 90.00 90.00 90.00
Space group I-42d (No. 122)
One atom of each set of equivalent atoms:
Zn1 0.0000 0.0000 0.0000 [4 per cell]
As1 0.0000 0.0000 0.5000 [4 per cell]
Se1 0.2363 0.2500 0.1250 [8 per cell]

Density of states at the Fermi level (states/eV/cell): 5.08
Crystal system: tetragonal
VASP energy (eV/atom): -3.29
Uncorrected formation energy (kJ/mol of formula units): -25
Offset from the most stable computed form (eV per atom): 0.098
M_tot (μB per cell): 0.0

---

ZnAsSe2 | GGA-PBE | optimized geometry

a b c (Å): 5.3192 7.8843 4.7200
angles (deg): 90.00 123.90 90.00
Space group C2/m (No. 12)
One atom of each set of equivalent atoms:
Zn1 0.0000 0.0000 0.0000 [2 per cell]
As1 0.0000 0.5000 0.0000 [2 per cell]
Se1 0.2500 0.2500 0.5000 [4 per cell]

Density of states at the Fermi level (states/eV/cell): 1.78
Crystal system: monoclinic
VASP energy (eV/atom): -3.31
Uncorrected formation energy (kJ/mol of formula units): -32
Offset from the most stable computed form (eV per atom): 0.078
M_tot (μB per cell): 0.0